ScTiAs2Br | GGA-PBEsol | relaxed

N(E_F): 0.566 states/eV per atom
E_form (uncorrected): -0.27 eV per atom

abc: 4.859 4.859 4.844
angles: 90.00 90.00 90.00
Fractional positions:
1 As 0.000 0.500 0.000
2 As 0.500 0.000 0.000
3 Br 0.000 0.000 0.500
4 Sc 0.500 0.500 0.500
5 Ti 0.000 0.000 0.000